[1]
# AsPt4Se

AsPt4Se at its PBEsol-relaxed geometry (SCAN, Alexandria).

a b c (Å): 5.257 5.257 5.257
angles (deg): 60.00 60.00 60.00
Sites, in units of the cell vectors:
As1 0.000 0.000 0.000
Pt1 0.375 0.375 0.375
Pt2 0.375 0.375 0.876
Pt3 0.375 0.876 0.375
Pt4 0.876 0.375 0.375
Se1 0.750 0.750 0.750

Properties
Magnetic moment: 0.0 μB/f.u.
Crystal system: cubic
Formation energy (no corrections): 0.448 eV per atom
E: -53.059 eV per atom

=====

[2]
# Be3GaAu

Be3GaAu at its PBEsol-relaxed geometry (SCAN, Alexandria).

a b c (Å): 4.345 4.345 4.345
angles (deg): 90.00 90.00 90.00
Sites, in units of the cell vectors:
Be1 0.000 0.000 0.500
Be2 0.000 0.500 0.000
Be3 0.500 0.000 0.000
Ga1 0.500 0.500 0.500
Au1 0.000 0.000 0.000

Properties
Magnetic moment: 0.0 μB/f.u.
Crystal system: cubic
Offset from the most stable computed form: 0.0 kJ per mole of atoms
E: -19.309 eV per atom
Calculated formation energy: 38.9 kJ/mol of atoms

=====

[3]
# Ba2HgBi

Ba2HgBi at its PBEsol-relaxed geometry (SCAN, Alexandria).

a b c (Å): 5.920 5.920 5.920
angles (deg): 60.00 60.00 60.00
Sites, in units of the cell vectors:
Ba1 0.250 0.250 0.250
Ba2 0.750 0.750 0.750
Hg1 0.000 0.000 0.000
Bi1 0.500 0.500 0.500

Properties
Magnetic moment: 0.0 μB/f.u.
Crystal system: cubic
E: -57.321 eV per atom
Calculated formation energy: -82.9 kJ/mol of atoms

=====

[4]
# Cr2CoRe

Cr2CoRe at its PBEsol-relaxed geometry (SCAN, Alexandria).

a b c (Å): 4.445 4.445 4.445
angles (deg): 132.27 132.27 69.81
Sites, in units of the cell vectors:
Cr1 0.000 0.000 0.000
Cr2 0.750 0.250 0.500
Co1 0.250 0.750 0.500
Re1 0.500 0.500 0.000

Properties
Magnetic moment: 1.0 μB/f.u.
Crystal system: tetragonal
E: -31.143 eV per atom
Calculated formation energy: 14.4 kJ/mol of atoms

=====

[5]
# Nd3InN

Nd3InN at its PBEsol-relaxed geometry (SCAN, Alexandria).

a b c (Å): 4.969 4.969 4.969
angles (deg): 90.00 90.00 90.00
Sites, in units of the cell vectors:
Nd1 0.000 0.000 0.500
Nd2 0.000 0.500 0.000
Nd3 0.500 0.000 0.000
In1 0.500 0.500 0.500
N1 0.000 0.000 0.000

Properties
Magnetic moment: 0.0 μB/f.u.
Crystal system: cubic
Formation energy (no corrections): -1.071 eV per atom
E: -35.756 eV per atom

=====

[6]
# ScMoP2

ScMoP2 at its PBEsol-relaxed geometry (SCAN, Alexandria).

a b c (Å): 4.857 4.857 4.857
angles (deg): 49.65 49.65 49.65
Sites, in units of the cell vectors:
Sc1 0.000 0.000 0.000
Mo1 0.500 0.500 0.500
P1 0.226 0.226 0.226
P2 0.774 0.774 0.774

Properties
Magnetic moment: 0.0 μB/f.u.
Crystal system: trigonal
Offset from the most stable computed form: 0.0 kJ per mole of atoms
E: -18.165 eV per atom
Calculated formation energy: -66.1 kJ/mol of atoms

=====

[7]
# TiFe3Bi3PbO12

TiFe3Bi3PbO12 at its PBEsol-relaxed geometry (SCAN, Alexandria).

a b c (Å): 5.312 6.009 9.525
angles (deg): 82.91 74.31 65.38
Sites, in units of the cell vectors:
Ti1 0.000 0.000 0.000
Fe1 0.011 0.479 0.499
Fe2 0.512 0.244 0.742
Fe3 0.524 0.736 0.234
Bi1 0.318 0.814 0.597
Bi2 0.818 0.551 0.862
Bi3 0.830 0.041 0.366
Pb1 0.291 0.333 0.117
O1 0.166 0.179 0.418
O2 0.169 0.723 0.903
O3 0.186 0.480 0.657
O4 0.193 0.218 0.900
O5 0.196 0.956 0.152
O6 0.200 0.707 0.402
O7 0.679 0.487 0.659
O8 0.684 0.977 0.625
O9 0.696 0.711 0.403
O10 0.697 0.967 0.151
O11 0.704 0.217 0.898
O12 0.719 0.460 0.127

Properties
Magnetic moment: 15.0 μB/f.u.
Crystal system: triclinic
Formation energy (no corrections): -1.667 eV per atom
E: -24.503 eV per atom

=====

[8]
# BaGa2Pt2

BaGa2Pt2 at its PBEsol-relaxed geometry (SCAN, Alexandria).

a b c (Å): 6.235 6.235 6.235
angles (deg): 138.80 138.80 59.67
Sites, in units of the cell vectors:
Ba1 0.000 0.000 0.000
Ga1 0.250 0.750 0.500
Ga2 0.750 0.250 0.500
Pt1 0.370 0.370 0.000
Pt2 0.630 0.630 0.000

Properties
Magnetic moment: 0.0 μB/f.u.
Crystal system: tetragonal
E: -43.418 eV per atom
Calculated formation energy: -86.1 kJ/mol of atoms